A plane-wave DFT calculation with PBE-GGA was carried out for a relaxed structure of SrTeIrN2.

Output
final energy = -0.410 Ry/atom
energy above the most stable polymorph in this dataset = 0.0 meV per atom
raw formation energy = 0.49 eV/atom

a = 4.1059 Å, b = 4.1059 Å, c = 5.6761 Å
α = 90.00°, β = 90.00°, γ = 90.00°
Closest atoms and distances in Å follow each position.
Atoms (fractional coordinates):
1 N 0.0000 0.5000 0.0000  2 Ir 2.05
2 N 0.5000 0.0000 0.0000  2 Ir 2.05
3 Te 0.0000 0.0000 0.5000  2 Ir 2.84, 4 Sr 2.90
4 Sr 0.5000 0.5000 0.5000  4 Te 2.90
5 Ir 0.0000 0.0000 0.0000  4 N 2.05